Model P:
VASP calculation (SCAN) on a PBEsol-optimized structure of Fe2CoCu.

Cell: 2.4874 3.5325 4.9967 Å, 90.00 90.00 90.00°
Last column: nearest neighbours and their distance in Å.
Space group Pmm2 (No. 25)
Symmetry-distinct sites (fractional):
Fe 0.0000 0.0000 0.0000 [1 per cell]  2 Co 2.45-2.55, 6 Fe 2.49-2.51, 4 Cu 2.50
Fe 0.5000 0.5000 0.2566 [1 per cell]  2 Cu 2.45-2.55, 4 Co 2.45, 6 Fe 2.49-2.51
Co 0.0000 0.0000 0.4895 [1 per cell]  6 Fe 2.45-2.55, 2 Co 2.49, 4 Cu 2.51
Cu 0.5000 0.5000 0.7471 [1 per cell]  6 Fe 2.45-2.55, 2 Cu 2.49, 4 Co 2.51

Volume   11.0 Å³/atom
Size of the total moment   7.07 Bohr magnetons per cell
D(E_F)   3.08 states/eV/f.u.

=====

Model Q:
VASP calculation (SCAN) on a PBEsol-optimized structure of Fe2CoCu.

Cell: 2.4059 3.9400 4.7362 Å, 90.00 101.04 90.00°
Last column: nearest neighbours and their distance in Å.
Space group Pm (No. 6)
Symmetry-distinct sites (fractional):
Fe 0.0000 0.0000 0.0000 [1 per cell]  2 Co 2.38, 4 Fe 2.41-2.44, 2 Cu 2.44-2.45
Fe 0.2416 0.5000 0.7428 [1 per cell]  4 Fe 2.41-2.44, 2 Co 2.42-2.46, 2 Cu 2.45
Co 0.7648 0.5000 0.2342 [1 per cell]  4 Fe 2.38-2.46, 2 Co 2.41, 2 Cu 2.46
Cu 0.5177 0.0000 0.4951 [1 per cell]  2 Cu 2.41, 4 Fe 2.44-2.45, 2 Co 2.46

Volume   11.0 Å³/atom
Size of the total moment   7.11 Bohr magnetons per cell
D(E_F)   2.87 states/eV/f.u.

=====

model Q is preferred energetically. Next in line: 55 meV per atom higher.